Entry 1:
{
  "formula": "La3NdPd2",
  "functional": "PBE",
  "state": "relaxed",
  "mass_density_g_cm3": 7.1,
  "lattice_angstrom": [[7.142, 0.000, 0.000], [-3.571, 6.304, -2.002], [0.000, -0.012, 8.053]],
  "species": ["La", "La", "La", "La", "La", "La", "Nd", "Nd", "Pd", "Pd", "Pd", "Pd"],
  "fractional_positions": [[0.250, 0.000, 0.750], [0.750, 0.000, 0.250], [0.786, 0.571, 0.893], [0.215, 0.429, 0.607], [0.785, 0.571, 0.393], [0.214, 0.429, 0.107], [0.251, 0.000, 0.250], [0.749, 0.000, 0.750], [0.379, 0.760, 0.440], [0.381, 0.760, 0.940], [0.619, 0.240, 0.060], [0.621, 0.240, 0.560]]
}



Entry 2:
{
  "formula": "LaNd2Pd",
  "functional": "PBE",
  "state": "relaxed",
  "e_above_lowest_polymorph_mev_per_atom": 153,
  "mass_density_g_cm3": 6.7,
  "lattice_angstrom": [[-3.540, -0.142, 1.799], [-1.163, -3.326, 1.837], [2.463, 1.953, 9.392]],
  "species": ["La", "Nd", "Nd", "Pd"],
  "fractional_positions": [[0.501, 0.501, 0.498], [0.062, 0.062, 0.814], [0.271, 0.271, 0.187], [0.666, 0.666, 0.001]]
}



Entry 3:
{
  "formula": "LaNd3Pd",
  "functional": "PBE",
  "state": "relaxed",
  "e_above_lowest_polymorph_mev_per_atom": 0,
  "mass_density_g_cm3": 7.1,
  "lattice_angstrom": [[-3.373, 1.908, -0.372], [-2.967, -0.142, 5.810], [4.018, 11.866, 4.070]],
  "species": ["La", "La", "Nd", "Nd", "Nd", "Nd", "Nd", "Nd", "Pd", "Pd"],
  "fractional_positions": [[0.101, 0.502, 0.297], [0.223, 0.558, 0.996], [0.449, 0.955, 0.148], [0.760, 0.720, 0.760], [0.115, 0.156, 0.615], [0.989, 0.115, 0.907], [0.792, 0.032, 0.384], [0.423, 0.626, 0.528], [0.754, 0.347, 0.145], [0.457, 0.326, 0.760]]
}



Entry 4:
{
  "formula": "La2NdPd4",
  "functional": "PBE",
  "state": "relaxed",
  "mass_density_g_cm3": 6.8,
  "lattice_angstrom": [[5.222, 0.000, 0.000], [0.000, 5.222, 0.000], [-2.611, -2.611, 7.553]],
  "species": ["La", "La", "Nd", "Pd", "Pd", "Pd", "Pd"],
  "fractional_positions": [[0.638, 0.638, 0.277], [0.362, 0.362, 0.723], [0.000, 0.000, 0.000], [0.811, 0.811, 0.622], [0.189, 0.189, 0.378], [0.000, 0.500, 0.000], [0.500, 0.000, 0.000]]
}



Let's list energy of formation in order: -0.512 -0.261 -0.312 -0.246 eV per atom.
Let's list D(E_F) in order: 1.2519 1.1890 1.3016 0.6651 states/eV per atom.